(1)
Material: PrHoScAl
Method: DFT, GGA-PBE
State: relaxed

Lattice parameters (Å, degrees): 5.3049 5.3049 5.3049 60.00 60.00 60.00
With the nearest neighbours (Å) after each atom.
Element x y z (fractional)
Ho1 0.5000 0.5000 0.5000  4 Al 3.25, 4 Sc 3.25
Al1 0.7500 0.7500 0.7500  4 Ho 3.25, 4 Pr 3.25
Sc1 0.2500 0.2500 0.2500  4 Pr 3.25, 4 Ho 3.25
Pr1 0.0000 0.0000 0.0000  4 Sc 3.25, 4 Al 3.25

Computed properties:
Formation energy from the elements ... -0.094 eV/atom
Raw total energy ... -19.81 eV per cell
SG ... F-43m (216)
Calculated density ... 5.94 g/cm³
Crystal system ... cubic

(2)
Material: PrHoAlSi
Method: DFT, GGA-PBE
State: relaxed

Lattice parameters (Å, degrees): 4.4063 4.0372 5.9834 90.00 111.61 90.00
With the nearest neighbours (Å) after each atom.
Element x y z (fractional)
Pr1 0.1453 0.0000 0.2906  4 Al 3.11, 3 Si 3.12-3.29
Si1 0.4258 0.0000 0.8516  2 Al 2.56
Al1 0.5669 0.5000 0.1339  2 Si 2.56
Ho1 0.8619 0.5000 0.7239  4 Si 3.07, 3 Al 3.17-3.28

Computed properties:
Raw total energy ... -20.95 eV per cell
SG ... Amm2 (38)
Calculated density ... 6.06 g/cm³
Formation energy from raw total energies ... -2.4 eV/f.u.
Crystal system ... orthorhombic

(3)
Material: PrHoAlSn
Method: DFT, GGA-PBE
State: relaxed

Lattice parameters (Å, degrees): 5.3287 5.3287 5.3287 60.00 60.00 60.00
With the nearest neighbours (Å) after each atom.
Element x y z (fractional)
Pr1 0.0000 0.0000 0.0000  4 Sn 3.26, 4 Al 3.26
Ho1 0.5000 0.5000 0.5000  4 Al 3.26, 4 Sn 3.26
Sn1 0.2500 0.2500 0.2500  4 Ho 3.26, 4 Pr 3.26
Al1 0.7500 0.7500 0.7500  4 Pr 3.26, 4 Ho 3.26

Computed properties:
Formation energy from the elements ... -0.427 eV/atom
Raw total energy ... -18.81 eV per cell
SG ... F-43m (216)
Calculated density ... 7.01 g/cm³
Crystal system ... cubic